# Hf4VGa2

A geometry-optimized Hf4VGa2 structure (PBE-GGA, Alexandria via LeMat-Bulk).

Structure (CIF):
```
data_Hf4VGa2
_space_group_name_H-M_alt 'R -3 m'
_space_group_IT_number 166
_space_group_name_Hall '-R 3 2"'
_cell_length_a 4.6873
_cell_length_b 4.6873
_cell_length_c 23.0243
_cell_angle_alpha 90.00
_cell_angle_beta 90.00
_cell_angle_gamma 120.00
loop_
_atom_site_label
_atom_site_type_symbol
_atom_site_fract_x
_atom_site_fract_y
_atom_site_fract_z
Hf1 Hf 0.0000 0.0000 0.1296
Hf2 Hf 0.0000 0.0000 0.2721
V1 V 0.0000 0.0000 0.5000
Ga1 Ga 0.0000 0.0000 0.3906
```

Output
Energy of formation   0.03 eV/atom

=====

# LuZr2Cd

A geometry-optimized LuZr2Cd structure (PBE-GGA, Alexandria via LeMat-Bulk).

Structure (CIF):
```
data_LuZr2Cd
_space_group_name_H-M_alt 'P 4/m m m'
_space_group_IT_number 123
_space_group_name_Hall '-P 4 2'
_cell_length_a 3.2462
_cell_length_b 3.2462
_cell_length_c 8.9913
_cell_angle_alpha 90.00
_cell_angle_beta 90.00
_cell_angle_gamma 90.00
loop_
_atom_site_label
_atom_site_type_symbol
_atom_site_fract_x
_atom_site_fract_y
_atom_site_fract_z
Lu1 Lu 0.0000 0.0000 0.0000
Zr1 Zr 0.5000 0.5000 0.2601
Cd1 Cd 0.0000 0.0000 0.5000
```

Output
Energy above the lowest structure with this stoichiometry   17 meV per atom
Energy of formation   -0.01 eV/atom

=====

# Cs2KScI6

A geometry-optimized Cs2KScI6 structure (PBE-GGA, Alexandria via LeMat-Bulk).

Structure (CIF):
```
data_Cs2KScI6
_space_group_name_H-M_alt 'P m m n'
_space_group_IT_number 59
_cell_length_a 8.6211
_cell_length_b 12.5791
_cell_length_c 9.3022
_cell_angle_alpha 90.00
_cell_angle_beta 90.00
_cell_angle_gamma 90.00
loop_
_space_group_symop_operation_xyz
'x,y,z'
'-x,-y,-z'
'-x+1/2,-y+1/2,z'
'x+1/2,y+1/2,-z'
'x+1/2,-y,-z'
'-x+1/2,y,z'
'-x,y+1/2,-z'
'x,-y+1/2,z'
loop_
_atom_site_label
_atom_site_type_symbol
_atom_site_fract_x
_atom_site_fract_y
_atom_site_fract_z
Cs1 Cs 0.2500 0.0245 0.2078
K1 K 0.2500 0.2500 0.7169
Sc1 Sc 0.2500 0.7500 0.7770
I1 I 0.0090 0.7500 0.5621
I2 I 0.0158 0.7500 0.0037
I3 I 0.2500 0.5192 0.7792
```

Output
Raw formation energy   -14.1 eV per formula unit

=====

# CePmCl

A geometry-optimized CePmCl structure (PBE-GGA, Alexandria via LeMat-Bulk).

Structure (CIF):
```
data_CePmCl
_space_group_name_H-M_alt 'P 3 m 1'
_space_group_IT_number 156
_space_group_name_Hall 'P 3 -2"'
_cell_length_a 3.6478
_cell_length_b 3.6478
_cell_length_c 7.4781
_cell_angle_alpha 90.00
_cell_angle_beta 90.00
_cell_angle_gamma 120.00
loop_
_atom_site_label
_atom_site_type_symbol
_atom_site_fract_x
_atom_site_fract_y
_atom_site_fract_z
Ce1 Ce 0.0000 0.0000 0.0000
Pm1 Pm 0.3333 0.6667 0.6061
Cl1 Cl 0.6667 0.3333 0.3139
```

Output
Raw formation energy   -2.4 eV per formula unit

=====

# La2Pt2Pb

A geometry-optimized La2Pt2Pb structure (PBE-GGA, Alexandria via LeMat-Bulk).

Structure (CIF):
```
data_La2Pt2Pb
_space_group_name_H-M_alt 'I 4/m m m'
_space_group_IT_number 139
_space_group_name_Hall '-I 4 2'
_cell_length_a 5.6748
_cell_length_b 5.6748
_cell_length_c 8.5793
_cell_angle_alpha 90.00
_cell_angle_beta 90.00
_cell_angle_gamma 90.00
loop_
_atom_site_label
_atom_site_type_symbol
_atom_site_fract_x
_atom_site_fract_y
_atom_site_fract_z
La1 La 0.0000 0.5000 0.2500
Pt1 Pt 0.0000 0.0000 0.1497
Pb1 Pb 0.0000 0.0000 0.5000
```

Output
Energy of formation   -0.88 eV/atom

=====

# SrY2Sc

A geometry-optimized SrY2Sc structure (PBE-GGA, Alexandria via LeMat-Bulk).

Structure (CIF):
```
data_SrY2Sc
_space_group_name_H-M_alt 'C m m 2'
_space_group_IT_number 35
_space_group_name_Hall 'C 2 -2'
_cell_length_a 5.1452
_cell_length_b 5.1526
_cell_length_c 10.3222
_cell_angle_alpha 90.00
_cell_angle_beta 90.00
_cell_angle_gamma 90.00
loop_
_atom_site_label
_atom_site_type_symbol
_atom_site_fract_x
_atom_site_fract_y
_atom_site_fract_z
Sr1 Sr 0.0000 0.0000 0.0000
Y1 Y 0.0000 0.0000 0.5239
Y2 Y 0.0000 0.5000 0.2914
Sc1 Sc 0.0000 0.5000 0.7321
```

Output
Energy above the lowest structure with this stoichiometry   62 meV per atom
Energy of formation   0.17 eV/atom

=====

# TbPr2Ho5Er

A geometry-optimized TbPr2Ho5Er structure (PBE-GGA, Alexandria via LeMat-Bulk).

Structure (CIF):
```
data_TbPr2Ho5Er
_space_group_name_H-M_alt 'I 4/m c m'
_space_group_IT_number 140
_space_group_name_Hall '-I 4 2c'
_cell_length_a 8.6083
_cell_length_b 8.6083
_cell_length_c 15.7586
_cell_angle_alpha 90.00
_cell_angle_beta 90.00
_cell_angle_gamma 90.00
loop_
_atom_site_label
_atom_site_type_symbol
_atom_site_fract_x
_atom_site_fract_y
_atom_site_fract_z
Tb1 Tb 0.0000 0.0000 0.2500
Pr1 Pr 0.1185 0.3815 0.0000
Ho1 Ho 0.0000 0.0000 0.0000
Ho2 Ho 0.2137 0.2863 0.3587
Er1 Er 0.0000 0.5000 0.2500
```

Output
Energy of formation   0.27 eV/atom

=====

# RbCa2CoBr

A geometry-optimized RbCa2CoBr structure (PBE-GGA, Alexandria via LeMat-Bulk).

Structure (CIF):
```
data_RbCa2CoBr
_space_group_name_H-M_alt 'P 4/m m m'
_space_group_IT_number 123
_space_group_name_Hall '-P 4 2'
_cell_length_a 6.9411
_cell_length_b 6.9411
_cell_length_c 5.8726
_cell_angle_alpha 90.00
_cell_angle_beta 90.00
_cell_angle_gamma 90.00
loop_
_atom_site_label
_atom_site_type_symbol
_atom_site_fract_x
_atom_site_fract_y
_atom_site_fract_z
Rb1 Rb 0.0000 0.0000 0.0000
Ca1 Ca 0.0000 0.5000 0.0000
Co1 Co 0.5000 0.5000 0.5000
Br1 Br 0.0000 0.0000 0.5000
```

Output
Raw formation energy   4.8 eV per formula unit

=====

# TlAuN2

A geometry-optimized TlAuN2 structure (PBE-GGA, Alexandria via LeMat-Bulk).

Structure (CIF):
```
data_TlAuN2
_space_group_name_H-M_alt 'R -3 m'
_space_group_IT_number 166
_space_group_name_Hall '-R 3 2"'
_cell_length_a 3.3165
_cell_length_b 3.3165
_cell_length_c 20.5570
_cell_angle_alpha 90.00
_cell_angle_beta 90.00
_cell_angle_gamma 120.00
loop_
_atom_site_label
_atom_site_type_symbol
_atom_site_fract_x
_atom_site_fract_y
_atom_site_fract_z
Tl1 Tl 0.0000 0.0000 0.0000
Au1 Au 0.0000 0.0000 0.5000
N1 N 0.0000 0.0000 0.1194
```

Output
Energy above the lowest structure with this stoichiometry   1232 meV per atom
Raw formation energy   5.2 eV per formula unit

=====

# RbBO2F

A geometry-optimized RbBO2F structure (PBE-GGA, Alexandria via LeMat-Bulk).

Structure (CIF):
```
data_RbBO2F
_space_group_name_H-M_alt 'P 4/m m m'
_space_group_IT_number 123
_space_group_name_Hall '-P 4 2'
_cell_length_a 4.4353
_cell_length_b 4.4353
_cell_length_c 5.1000
_cell_angle_alpha 90.00
_cell_angle_beta 90.00
_cell_angle_gamma 90.00
loop_
_atom_site_label
_atom_site_type_symbol
_atom_site_fract_x
_atom_site_fract_y
_atom_site_fract_z
Rb1 Rb 0.0000 0.0000 0.0000
B1 B 0.5000 0.5000 0.5000
O1 O 0.0000 0.5000 0.0000
F1 F 0.0000 0.0000 0.5000
```

Output
Raw formation energy   6.5 eV per formula unit

=====

# CdH2Br

A geometry-optimized CdH2Br structure (PBE-GGA, Alexandria via LeMat-Bulk).

Structure (CIF):
```
data_CdH2Br
_space_group_name_H-M_alt 'I -4 2 d'
_space_group_IT_number 122
_space_group_name_Hall 'I -4 2bw'
_cell_length_a 5.5034
_cell_length_b 5.5034
_cell_length_c 8.9116
_cell_angle_alpha 90.00
_cell_angle_beta 90.00
_cell_angle_gamma 90.00
loop_
_atom_site_label
_atom_site_type_symbol
_atom_site_fract_x
_atom_site_fract_y
_atom_site_fract_z
Cd1 Cd 0.0000 0.0000 0.0000
H1 H 0.1118 0.2500 0.1250
Br1 Br 0.0000 0.0000 0.5000
```

Output
Energy above the lowest structure with this stoichiometry   641 meV per atom

=====

# AgRuAu2

A geometry-optimized AgRuAu2 structure (PBE-GGA, Alexandria via LeMat-Bulk).

Structure (CIF):
```
data_AgRuAu2
_space_group_name_H-M_alt 'P 1 2/m 1'
_space_group_IT_number 10
_space_group_name_Hall '-P 2y'
_cell_length_a 2.7920
_cell_length_b 4.0369
_cell_length_c 6.0475
_cell_angle_alpha 90.00
_cell_angle_beta 90.12
_cell_angle_gamma 90.00
loop_
_atom_site_label
_atom_site_type_symbol
_atom_site_fract_x
_atom_site_fract_y
_atom_site_fract_z
Ag1 Ag 0.0000 0.0000 0.0000
Ru1 Ru 0.0000 0.0000 0.5000
Au1 Au 0.4998 0.5000 0.2619
```

Output
Energy above the lowest structure with this stoichiometry   60 meV per atom
Energy of formation   0.31 eV/atom

=====

no.,uncorrected energy (eV per atom),volume (Å³ per cell)
1,-7.82,438.1
2,-5.65,94.7
3,-3.26,1008.8
4,-4.97,86.2
5,-6.01,276.3
6,-5.06,273.7
7,-4.35,1167.7
8,-1.78,282.9
9,-4.28,195.8
10,-2.59,100.3
11,-1.96,269.9
12,-4.36,68.2